Below is a geometry-optimized BaScW2 structure, with properties calculated at the GGA-PBE level.

```
4
Lattice="6.1720 0.0140 -0.0033 3.4796 5.0977 0.0033 -4.3306 -3.4909 2.6746" Properties=species:S:1:pos:R:3 pbc="T T T"
Ba 1.9874 2.0813 1.3390
Sc 3.3336 -0.4606 1.3357
W 9.5530 5.0594 0.0000
W 4.9245 2.6081 0.0000
```

The space group is No. 71. The calculation puts the formation enthalpy at 0 K at 4.78 eV per formula unit. The energy above the lowest structure with this stoichiometry is 686.1 meV per atom.

---

Below is a geometry-optimized Mg2BeOs structure, with properties calculated at the GGA-PBE level.

```
4
Lattice="4.7993 0.0662 0.0000 1.6886 4.4929 0.0000 -3.2439 -2.2795 2.7052" Properties=species:S:1:pos:R:3 pbc="T T T"
Be 2.3996 0.0331 1.3526
Mg 0.0000 0.0000 0.0000
Mg 0.8443 2.2464 1.3526
Os 3.2439 2.2795 0.0000
```

The space group is No. 119. The calculation puts the formation enthalpy at 0 K at 0.90 eV per formula unit.

---

Below is a geometry-optimized Pm6Nd2DyY structure, with properties calculated at the GGA-PBE level.

```
20
Lattice="9.3339 -2.1039 -2.1834 0.7781 8.7010 -2.0930 0.7781 -2.4141 8.6174" Properties=species:S:1:pos:R:3 pbc="T T T"
Pm 1.1989 -0.8460 6.1075
Pm 5.0243 -0.8997 6.0518
Pm 9.6912 5.0291 -1.7664
Pm 5.8658 5.0827 -1.7108
Pm 3.9973 6.8555 0.9409
Pm 2.2258 4.5488 -1.4529
Pm 6.8927 -2.6724 3.4001
Pm 8.6643 -0.3657 5.7939
Pm 2.0530 4.7173 2.5680
Pm 4.1701 2.8436 0.6235
Pm 8.8370 -0.5342 1.7730
Pm 6.7200 1.3395 3.7175
Nd 5.4427 4.3529 3.3455
Nd 0.7804 2.0531 0.9589
Nd 5.4474 -0.1698 0.9956
Nd 10.1097 2.1299 3.3822
Dy 3.1116 1.5979 3.6988
Dy 7.7785 2.5851 0.6422
Y 3.1116 7.9459 -2.4181
Y 7.7785 -3.7629 6.7592
```

The space group is No. 15. The calculation puts the formation enthalpy at 0 K at 1.13 eV per formula unit.

---

- What is the formula in the third record?
  Pm6Nd2DyY